Entry 1:
Density functional theory data (PBE-GGA) for TaBeCo2 after structural relaxation.

```
4
Lattice="2.6777 0.0000 0.0000 0.0000 3.4472 0.0000 0.0000 0.0000 5.1741" Properties=species:S:1:pos:R:3 pbc="T T T"
Ta 0.0000 0.0000 2.5691
Be 1.3388 1.7236 4.1698
Co 0.0000 0.0000 4.9581
Co 1.3388 1.7236 1.2383
```

## Properties
**DFT total energy**: -7.4928 eV/atom
**Space group**: No. 25
**Formation energy**: -45 meV per atom
**Calculated density**: 10.7 g/cm3

=====

Entry 2:
Density functional theory data (PBE-GGA) for SrTl after structural relaxation.

```
4
Lattice="6.9425 0.0094 0.0108 3.3814 6.0634 -0.0108 -4.6163 -3.9640 3.3429" Properties=species:S:1:pos:R:3 pbc="T T T"
Sr 2.3387 -0.5794 2.5099
Sr 3.3689 2.6882 0.8330
Tl 0.1186 2.1891 2.4991
Tl 5.5890 -0.0803 0.8438
```

## Properties
**DFT total energy**: -2.3407 eV/atom
**Space group**: No. 74
**Formation energy**: -317 meV per atom
**Calculated density**: 6.9 g/cm3

=====

Entry 3:
Density functional theory data (PBE-GGA) for Na2TcOsPb after structural relaxation.

```
5
Lattice="-5.1376 -0.6153 -1.6446 0.4684 -4.5651 0.2447 -1.6665 0.1059 5.1662" Properties=species:S:1:pos:R:3 pbc="T T T"
Pb -3.1678 -2.5372 1.8831
Na -2.5688 -0.3076 -0.8223
Na -0.8332 0.0529 2.5831
Os 0.2342 -2.2826 0.1223
Tc 0.0000 0.0000 0.0000
```

## Properties
**DFT total energy**: -4.3100 eV/atom
**Space group**: No. 123
**Formation energy**: 1278 meV per atom
**Calculated density**: 6.6 g/cm3
**Energy above the lowest structure with this stoichiometry**: 0 meV per atom

=====

Entry 4:
Density functional theory data (PBE-GGA) for BeHgSeBr2 after structural relaxation.

```
5
Lattice="-3.2316 -2.1273 2.3364 -1.0480 -2.4312 -3.6631 3.8985 -4.1340 1.6283" Properties=species:S:1:pos:R:3 pbc="T T T"
Se 1.9492 -2.0670 0.8141
Hg -0.1906 -4.3462 0.1508
Br -0.5240 -1.2156 -1.8316
Br -1.6158 -1.0636 1.1682
Be 0.0000 0.0000 0.0000
```

## Properties
**DFT total energy**: -2.2054 eV/atom
**Space group**: No. 123
**Formation energy from raw total energies**: -0.034 eV/atom
**Calculated density**: 6.2 g/cm3
**Energy above the lowest structure with this stoichiometry**: 0 meV per atom

=====

Entry 5:
Density functional theory data (PBE-GGA) for Ac4TbHg after structural relaxation.

```
6
Lattice="-2.6730 -0.8077 2.8134 0.3890 -3.8742 -0.7427 10.8487 -0.8403 10.0658" Properties=species:S:1:pos:R:3 pbc="T T T"
Ac 3.8989 -0.3020 3.6175
Ac 6.9498 -0.5383 6.4483
Ac 0.6892 -2.4828 2.7344
Ac 7.8755 -3.0394 9.4021
Tb 0.0000 0.0000 0.0000
Hg 4.2823 -2.7611 6.0683
```

## Properties
**DFT total energy**: -3.6922 eV/atom
**Space group**: No. 123
**Formation energy**: -131 meV per atom
**Calculated density**: 9.0 g/cm3

=====

Entry 6:
Density functional theory data (PBE-GGA) for TiCuB2Pt after structural relaxation.

```
5
Lattice="4.1268 0.0000 0.0000 0.0000 4.7373 0.0000 0.0000 0.0000 4.1268" Properties=species:S:1:pos:R:3 pbc="T T T"
Cu 2.0634 2.3686 2.0634
B 0.0000 0.0000 2.0634
B 2.0634 0.0000 0.0000
Pt 0.0000 2.3686 0.0000
Ti 0.0000 0.0000 0.0000
```

## Properties
**DFT total energy**: -4.8649 eV/atom
**Space group**: No. 123
**Formation energy**: 1413 meV per atom
**Calculated density**: 6.8 g/cm3

=====

Entry 7:
Density functional theory data (PBE-GGA) for TmTh3C3 after structural relaxation.

```
14
Lattice="5.4029 0.0000 0.0000 0.0000 8.1931 0.0000 0.0000 -4.0965 7.0954" Properties=species:S:1:pos:R:3 pbc="T T T"
C 1.3507 2.3116 0.7809
C 4.0522 0.4796 2.3924
C 1.3507 3.6170 4.7030
C 4.0522 1.7849 6.3145
C 4.0522 -2.2645 5.4839
C 1.3507 6.3610 1.6115
Th 1.3507 1.7428 6.3016
Th 1.3507 0.4895 2.4353
Th 4.0522 2.3538 0.7938
Th 4.0522 3.6071 4.6601
Th 1.3507 -2.2322 5.4539
Th 4.0522 6.3288 1.6415
Tm 1.3507 4.0965 2.3651
Tm 4.0522 0.0000 4.7303
```

## Properties
**DFT total energy**: -7.8667 eV/atom
**Space group**: No. 176
**Formation energy**: -95 meV per atom
**Calculated density**: 9.5 g/cm3
**Energy above the lowest structure with this stoichiometry**: 142 meV per atom

=====

Entry 8:
Density functional theory data (PBE-GGA) for TiGe2OsRh after structural relaxation.

```
5
Lattice="-2.3980 2.2241 3.4095 -3.7240 -0.6494 -2.1956 -0.6105 -4.1088 2.2508" Properties=species:S:1:pos:R:3 pbc="T T T"
Rh -1.8620 -0.3247 -1.0978
Ti 0.0000 0.0000 0.0000
Os -3.3663 -1.2671 1.7324
Ge -1.1990 1.1120 1.7048
Ge -0.3053 -2.0544 1.1254
```

## Properties
**DFT total energy**: -5.8563 eV/atom
**Space group**: No. 123
**Formation energy**: 1286 meV per atom
**Calculated density**: 8.3 g/cm3

=====

Entry 9:
Density functional theory data (PBE-GGA) for Tb2MgV after structural relaxation.

```
4
Lattice="-1.4325 -2.9162 0.0439 0.9366 -2.2378 2.1618 -7.9317 2.2088 8.1647" Properties=species:S:1:pos:R:3 pbc="T T T"
V 0.0000 0.0000 0.0000
Tb -6.0053 1.2347 6.3218
Tb -2.4224 -4.1800 4.0486
Mg -4.2138 -1.4726 5.1852
```

## Properties
**DFT total energy**: -4.3816 eV/atom
**Space group**: No. 166
**Formation energy**: 612 meV per atom
**Calculated density**: 6.2 g/cm3
**Energy above the lowest structure with this stoichiometry**: 481 meV per atom

=====

Entry 10:
Density functional theory data (PBE-GGA) for ZnHgBr2 after structural relaxation.

```
8
Lattice="7.7243 0.0000 0.0000 0.0000 7.7243 0.0000 3.8621 3.8621 4.7886" Properties=species:S:1:pos:R:3 pbc="T T T"
Br 4.8242 1.9311 1.1971
Br 9.6553 8.6863 3.5914
Br 2.9001 5.7932 1.1971
Br 5.7932 6.7622 3.5914
Zn 3.8621 3.8621 0.0000
Zn 3.8621 7.7243 2.3943
Hg 0.0000 0.0000 0.0000
Hg 7.7243 3.8621 2.3943
```

## Properties
**DFT total energy**: -1.7764 eV/atom
**Space group**: No. 122
**Formation energy from raw total energies**: -0.546 eV/atom
**Calculated density**: 4.9 g/cm3
**Energy above the lowest structure with this stoichiometry**: 81 meV per atom

=====

Entry 11:
Density functional theory data (PBE-GGA) for Rb2PrI6 after structural relaxation.

```
9
Lattice="4.9587 0.0000 0.0000 0.0000 9.5280 0.0000 0.0000 -4.7640 8.2582" Properties=species:S:1:pos:R:3 pbc="T T T"
I 2.4793 6.4622 5.3055
I 2.4793 1.6981 2.9528
I 0.0000 3.6414 6.3140
I 0.0000 2.2507 0.0000
I 0.0000 8.4054 1.9442
I 2.4793 6.1293 0.0000
Pr 2.4793 0.0038 0.0000
Rb 0.0000 -0.0033 5.5031
Rb 0.0000 4.7607 2.7552
```

## Properties
**DFT total energy**: -2.9888 eV/atom
**Space group**: No. 38
**Formation energy from raw total energies**: -1.209 eV/atom
**Calculated density**: 4.6 g/cm3

=====

Entry 12:
Density functional theory data (PBE-GGA) for CsCa3Al after structural relaxation.

```
5
Lattice="-5.0704 0.3360 -2.7012 2.6320 -0.8512 -5.0464 -0.6942 -5.6816 0.5963" Properties=species:S:1:pos:R:3 pbc="T T T"
Cs 0.0000 0.0000 0.0000
Ca -0.3471 -2.8408 0.2981
Ca -2.5352 0.1680 -1.3506
Ca 1.3160 -0.4256 -2.5232
Al -1.5663 -3.0984 -3.5757
```

## Properties
**DFT total energy**: -0.9183 eV/atom
**Space group**: No. 221
**Formation energy**: 1202 meV per atom
**Calculated density**: 2.4 g/cm3
**Energy above the lowest structure with this stoichiometry**: 1080 meV per atom

=====

Entry 13:
Density functional theory data (PBE-GGA) for KY2Cr after structural relaxation.

```
4
Lattice="3.5764 0.0000 0.0000 0.0000 3.5773 0.0388 0.0000 3.4497 10.4873" Properties=species:S:1:pos:R:3 pbc="T T T"
Y 0.0000 3.5643 0.9648
Y 0.0000 3.5265 4.3371
K 1.7882 5.2702 7.8945
Cr 1.7882 1.7567 2.6315
```

## Properties
**DFT total energy**: -5.5498 eV/atom
**Space group**: No. 10
**Formation energy**: 362 meV per atom
**Calculated density**: 3.3 g/cm3
**Energy above the lowest structure with this stoichiometry**: 0 meV per atom

=====

Entry 14:
Density functional theory data (PBE-GGA) for Ce3CuGe2 after structural relaxation.

```
24
Lattice="-3.9518 0.7512 -1.0341 -0.3383 -9.0629 -5.2910 -3.7547 -5.7837 10.1470" Properties=species:S:1:pos:R:3 pbc="T T T"
Ce -3.0499 -3.7697 4.7465
Ce -3.9155 -10.8273 2.9271
Ce -2.0303 -7.7250 -2.0235
Ce -5.5291 -8.3355 2.5629
Ce -4.1293 -3.2681 0.8948
Ce -6.7649 -10.3439 5.8266
Ce -4.2775 -5.5559 8.1399
Ce -4.9949 -10.3257 -0.9246
Ce -2.5157 -5.7599 1.2590
Ce -6.0145 -6.3704 5.8454
Ce -1.2799 -3.7516 -2.0047
Ce -3.7673 -8.5395 -4.3180
Cu -4.5773 -7.4048 -0.3982
Cu -3.4675 -6.6906 4.2201
Cu -1.5170 -1.8390 0.2907
Cu -6.5278 -12.2565 3.5312
Ge -2.1189 -1.7166 2.6798
Ge -3.1412 -1.3648 -1.4987
Ge -3.8923 -5.3000 -1.4870
Ge -4.1525 -8.7955 5.3089
Ge -4.9036 -12.7307 5.3206
Ge -2.9883 -8.8194 0.8422
Ge -5.0566 -5.2761 2.9796
Ge -5.9259 -12.3789 1.1421
```

## Properties
**DFT total energy**: -5.7573 eV/atom
**Space group**: No. 62
**Formation energy**: -569 meV per atom
**Calculated density**: 7.8 g/cm3

=====

Entry 15:
Density functional theory data (PBE-GGA) for SrCrBr2 after structural relaxation.

```
4
Lattice="2.5161 0.0000 9.3505 -1.2581 2.1790 9.3505 -1.2581 -2.1790 9.3505" Properties=species:S:1:pos:R:3 pbc="T T T"
Br 0.0000 0.0000 25.1233
Br 0.0000 0.0000 2.9281
Sr 0.0000 0.0000 14.0257
Cr 0.0000 0.0000 0.0000
```

## Properties
**DFT total energy**: -4.3037 eV/atom
**Space group**: No. 166
**Formation energy from raw total energies**: -0.641 eV/atom
**Calculated density**: 3.2 g/cm3
**Energy above the lowest structure with this stoichiometry**: 51 meV per atom

=====

Entry 16:
Density functional theory data (PBE-GGA) for Sm3Al2SnPd9 after structural relaxation.

```
15
Lattice="5.7192 0.0000 0.0000 -2.8596 4.9530 0.0000 0.0000 0.0000 11.6654" Properties=species:S:1:pos:R:3 pbc="T T T"
Pd 2.8596 3.3201 7.9712
Pd 1.4298 2.4765 0.0000
Pd 1.4455 4.1365 3.6942
Pd 2.8596 0.0000 0.0000
Pd -1.4298 2.4765 0.0000
Pd 4.3051 0.8165 7.9712
Pd -1.4455 4.1365 3.6942
Pd 0.0000 1.6329 3.6942
Pd 1.4142 0.8165 7.9712
Al 2.8596 1.6510 9.7777
Al 0.0000 3.3020 1.8877
Sm 2.8596 1.6510 2.8246
Sm 0.0000 3.3020 8.8408
Sm 0.0000 0.0000 0.0000
Sn 0.0000 0.0000 5.8327
```

## Properties
**DFT total energy**: -5.4519 eV/atom
**Space group**: No. 164
**Formation energy**: -626 meV per atom
**Calculated density**: 7.9 g/cm3

=====

Entry 17:
Density functional theory data (PBE-GGA) for RbZn6 after structural relaxation.

```
7
Lattice="-3.0986 5.3502 0.6210 0.1454 -1.6255 -5.9957 -2.8535 -4.4390 3.2809" Properties=species:S:1:pos:R:3 pbc="T T T"
Zn -2.1536 0.3462 -3.3661
Zn -2.8421 -2.8045 -0.3819
Zn -3.7143 1.3868 0.6072
Zn -2.9646 2.0902 -1.7119
Zn -3.6531 -1.0605 1.2722
Zn -2.0923 -2.1011 -2.7011
Rb 0.0000 0.0000 0.0000
```

## Properties
**DFT total energy**: -1.0275 eV/atom
**Space group**: No. 229
**Formation energy**: 203 meV per atom
**Calculated density**: 4.3 g/cm3

=====

Entry 18:
Density functional theory data (PBE-GGA) for TlSn2SbBr8 after structural relaxation.

```
12
Lattice="7.2815 0.0734 0.1692 0.1228 6.9102 0.0963 0.2242 0.1415 9.1652" Properties=species:S:1:pos:R:3 pbc="T T T"
Br 6.2415 1.7967 7.3531
Br 2.7795 2.0293 4.9022
Br 1.3871 5.3284 2.0776
Br 2.5512 1.8058 9.0517
Br 5.0774 5.3193 0.3789
Br 6.2388 1.8128 2.1587
Br 1.3898 5.3123 7.2719
Br 4.8490 5.0958 4.5284
Sn 3.8555 3.6125 2.4225
Sn 3.7731 3.5127 7.0081
Tl 0.1121 0.0708 4.5826
Sb 0.0000 0.0000 0.0000
```

## Properties
**DFT total energy**: -3.0268 eV/atom
**Space group**: No. 2
**Formation energy from raw total energies**: -0.704 eV/atom
**Calculated density**: 4.3 g/cm3

=====

Entry 19:
Density functional theory data (PBE-GGA) for Cr2Pt after structural relaxation.

```
3
Lattice="4.6552 0.0169 -0.0139 2.4465 3.9606 0.0139 -3.1793 -2.6521 2.1284" Properties=species:S:1:pos:R:3 pbc="T T T"
Cr 4.6734 2.6175 0.0000
Cr 0.0610 0.0342 0.0000
Pt 2.3672 1.3258 0.0000
```

## Properties
**DFT total energy**: -8.4168 eV/atom
**Space group**: No. 71
**Formation energy**: 12 meV per atom
**Calculated density**: 12.7 g/cm3

=====

Entry 20:
Density functional theory data (PBE-GGA) for CePmEr2Tm4 after structural relaxation.

```
8
Lattice="5.0032 0.0000 0.0000 0.0000 4.8449 1.1840 0.0001 2.4997 10.7717" Properties=species:S:1:pos:R:3 pbc="T T T"
Er 0.0001 2.4997 10.7717
Er 2.5016 1.2498 5.3858
Tm 2.5016 4.2512 3.6106
Tm 2.5017 3.0934 8.3451
Tm 0.0000 1.8303 3.0152
Tm 5.0032 5.5143 8.9404
Pm 2.5016 2.4224 0.5920
Ce 0.0001 3.6723 5.9778
```

## Properties
**DFT total energy**: -4.6631 eV/atom
**Space group**: No. 47
**Formation energy**: 49 meV per atom
**Calculated density**: 8.7 g/cm3